No. 1
# PaCo12Ge6 | the Alexandria database | PBE | optimized geometry
# Total moment, μB/f.u.: 2.65
# Total DFT energy (no corrections), eV/atom: -6.50
# Energy relative to the elements, eV per formula unit: -0.940
data_PaCo12Ge6
_symmetry_space_group_name_H-M 'R -3 m'
_symmetry_Int_Tables_number 166
_symmetry_space_group_name_Hall '-R 3 2"'
_cell_length_a 10.6775
_cell_length_b 10.6775
_cell_length_c 7.6696
_cell_angle_alpha 90.00
_cell_angle_beta 90.00
_cell_angle_gamma 120.00
loop_
_atom_site_label
_atom_site_type_symbol
_atom_site_fract_x
_atom_site_fract_y
_atom_site_fract_z
Pa1 Pa 0.0000 0.0000 0.0000
Co1 Co 0.0000 0.3764 0.5000
Co2 Co 0.0787 0.1574 0.3275
Ge1 Ge 0.0347 0.5173 0.2589



No. 2
# ZrMn17Os | the Alexandria database | PBE | optimized geometry
# Total moment, μB/f.u.: 0.03
# Total DFT energy (no corrections), eV/atom: -9.16
# Energy relative to the elements, eV per formula unit: 1.648
data_ZrMn17Os
_symmetry_space_group_name_H-M 'R 3 m'
_symmetry_Int_Tables_number 160
_symmetry_space_group_name_Hall 'R 3 -2"'
_cell_length_a 8.0081
_cell_length_b 8.0081
_cell_length_c 12.0832
_cell_angle_alpha 90.00
_cell_angle_beta 90.00
_cell_angle_gamma 120.00
loop_
_atom_site_label
_atom_site_type_symbol
_atom_site_fract_x
_atom_site_fract_y
_atom_site_fract_z
Zr1 Zr 0.0000 0.0000 0.0000
Mn1 Mn 0.0000 0.0000 0.5663
Mn2 Mn 0.0000 0.0000 0.7508
Mn3 Mn 0.0364 0.3557 0.3234
Mn4 Mn 0.1722 0.3443 0.1384
Mn5 Mn 0.1718 0.3436 0.5000
Mn6 Mn 0.1740 0.3479 0.8352
Os1 Os 0.0000 0.0000 0.3228



No. 3
# TaInN2O | the Alexandria database | PBE | optimized geometry
# Total moment, μB/f.u.: 0.02
# Total DFT energy (no corrections), eV/atom: -7.80
data_TaInN2O
_symmetry_space_group_name_H-M 'P 4/m m m'
_symmetry_Int_Tables_number 123
_symmetry_space_group_name_Hall '-P 4 2'
_cell_length_a 4.159
_cell_length_b 4.159
_cell_length_c 3.911
_cell_angle_alpha 90.00
_cell_angle_beta 90.00
_cell_angle_gamma 90.00
loop_
_atom_site_label
_atom_site_type_symbol
_atom_site_fract_x
_atom_site_fract_y
_atom_site_fract_z
Ta1 Ta 0.000 0.000 0.000
In1 In 0.500 0.500 0.500
N1 N 0.000 0.500 0.000
O1 O 0.000 0.000 0.500



No. 4
# BaLiIn2Hg5 | the Alexandria database | PBE | optimized geometry
# Total moment, μB/f.u.: 0.00
# Total DFT energy (no corrections), eV/atom: -1.40
# Energy relative to the elements, eV per formula unit: -1.767
data_BaLiIn2Hg5
_symmetry_space_group_name_H-M 'I m m m'
_symmetry_Int_Tables_number 71
_symmetry_space_group_name_Hall '-I 2 2'
_cell_length_a 5.081
_cell_length_b 6.980
_cell_length_c 14.859
_cell_angle_alpha 90.00
_cell_angle_beta 90.00
_cell_angle_gamma 90.00
loop_
_atom_site_label
_atom_site_type_symbol
_atom_site_fract_x
_atom_site_fract_y
_atom_site_fract_z
Ba1 Ba 0.000 0.000 0.000
Li1 Li 0.000 0.000 0.500
In1 In 0.000 0.500 0.194
Hg1 Hg 0.000 0.258 0.359
Hg2 Hg 0.000 0.500 0.000



No. 5
# CaH6Pt2Pb | the Alexandria database | PBE | optimized geometry
# Total moment, μB/f.u.: 0.00
# Total DFT energy (no corrections), eV/atom: -3.98
data_CaH6Pt2Pb
_symmetry_space_group_name_H-M 'C 1 2/c 1'
_symmetry_Int_Tables_number 15
_cell_length_a 9.169
_cell_length_b 9.254
_cell_length_c 6.436
_cell_angle_alpha 90.00
_cell_angle_beta 112.04
_cell_angle_gamma 90.00
loop_
_symmetry_equiv_pos_as_xyz
'x,y,z'
'-x,-y,-z'
'-x,y,-z+1/2'
'x,-y,z+1/2'
'x+1/2,y+1/2,z'
'-x+1/2,-y+1/2,-z'
'-x+1/2,y+1/2,-z+1/2'
'x+1/2,-y+1/2,z+1/2'
loop_
_atom_site_label
_atom_site_type_symbol
_atom_site_fract_x
_atom_site_fract_y
_atom_site_fract_z
Ca1 Ca 0.000 0.139 0.250
H1 H 0.116 0.210 0.663
H2 H 0.136 0.294 0.099
H3 H 0.143 0.035 0.036
Pt1 Pt 0.248 0.417 0.276
Pb1 Pb 0.000 0.405 0.750



No. 6
# UTiTlS4 | the Alexandria database | PBE | optimized geometry
# Total moment, μB/f.u.: 3.01
# Total DFT energy (no corrections), eV/atom: -6.53
data_UTiTlS4
_symmetry_space_group_name_H-M 'I m m a'
_symmetry_Int_Tables_number 74
_symmetry_space_group_name_Hall '-I 2b 2'
_cell_length_a 7.410
_cell_length_b 8.919
_cell_length_c 10.454
_cell_angle_alpha 90.00
_cell_angle_beta 90.00
_cell_angle_gamma 90.00
loop_
_atom_site_label
_atom_site_type_symbol
_atom_site_fract_x
_atom_site_fract_y
_atom_site_fract_z
U1 U 0.000 0.000 0.000
Ti1 Ti 0.250 0.250 0.250
Tl1 Tl 0.000 0.250 0.682
S1 S 0.000 0.066 0.253
S2 S 0.224 0.250 0.011



No. 7
# PrZnPb | the Alexandria database | PBE | optimized geometry
# Total moment, μB/f.u.: 0.00
# Total DFT energy (no corrections), eV/atom: -3.66
# Energy relative to the elements, eV per formula unit: -1.208
data_PrZnPb
_symmetry_space_group_name_H-M 'P 3 m 1'
_symmetry_Int_Tables_number 156
_cell_length_a 4.6109
_cell_length_b 4.6109
_cell_length_c 4.3891
_cell_angle_alpha 90.00
_cell_angle_beta 90.00
_cell_angle_gamma 120.00
loop_
_symmetry_equiv_pos_as_xyz
'x,y,z'
'-y,x-y,z'
'-x+y,-x,z'
'-y,-x,z'
'-x+y,y,z'
'x,x-y,z'
loop_
_atom_site_label
_atom_site_type_symbol
_atom_site_fract_x
_atom_site_fract_y
_atom_site_fract_z
Pr1 Pr 0.0000 0.0000 0.0000
Zn1 Zn 0.3333 0.6667 0.6141
Pb1 Pb 0.6667 0.3333 0.4644



No. 8
# K2TmRe3O12 | the Alexandria database | PBE | optimized geometry
# Total moment, μB/f.u.: 0.85
# Total DFT energy (no corrections), eV/atom: -7.68
data_K2TmRe3O12
_symmetry_space_group_name_H-M 'R -3 m'
_symmetry_Int_Tables_number 166
_symmetry_space_group_name_Hall '-R 3 2"'
_cell_length_a 7.3822
_cell_length_b 7.3822
_cell_length_c 18.5962
_cell_angle_alpha 90.00
_cell_angle_beta 90.00
_cell_angle_gamma 120.00
loop_
_atom_site_label
_atom_site_type_symbol
_atom_site_fract_x
_atom_site_fract_y
_atom_site_fract_z
K1 K 0.0000 0.0000 0.1206
Tm1 Tm 0.0000 0.0000 0.5000
Re1 Re 0.0000 0.5000 0.0000
O1 O 0.0515 0.5258 0.0982
O2 O 0.0835 0.5418 0.3465